Mg2ZnCdAs (GGA-PBE, optimized geometry); energy of formation = 48 kJ/mol of atoms; theoretical density = 3.45 g/cm3; raw total energy = -1.505 eV per atom; Fermi-level density of states = 2.22 states/eV per cell; calculated volume = 145 Å³/cell
1.0
5.327 0.000 0.000
0.000 5.327 0.000
0.000 0.000 5.114
Mg Zn Cd As
2 1 1 1
Cartesian
0.000 2.664 0.000
2.664 0.000 0.000
0.000 0.000 2.557
2.664 2.664 0.000
2.664 2.664 2.557